(1)
A relaxed structure of Sr2Ac2Tl4In. Source: the Alexandria database, functional GGA-PBE.

POSCAR file:
```
Sr2Ac2Tl4In
1.0
-4.0833 4.0833 5.0420
4.0833 -4.0833 5.0420
4.0833 4.0833 -5.0420
Sr Ac Tl In
2 2 4 1
Cartesian
4.0833 0.0000 2.5210
0.0000 4.0833 2.5210
0.0000 0.0000 1.8507
0.0000 0.0000 8.2334
2.0333 2.0333 0.0000
2.0500 -2.0500 5.0420
-2.0500 2.0500 5.0420
2.0500 2.0500 5.0420
0.0000 0.0000 5.0420
```

Properties
The theoretical density is 7.71 g/cm3. As for the space group: No. 139. The formation energy comes out at -166 meV/atom. The value obtained for the energy is -2.81 eV/atom.



(2)
A relaxed structure of Sc6PC3. Source: the Alexandria database, functional GGA-PBE.

POSCAR file:
```
Sc6PC3
1.0
9.7326 0.0000 0.0000
0.0000 3.5216 0.0000
-3.2747 0.0000 9.1782
Sc P C
12 2 6
Cartesian
-0.7978 0.8804 3.5849
-2.1932 0.8804 8.5283
1.5063 2.6412 2.2146
0.2891 0.8804 6.4736
2.1723 2.6412 5.0540
3.9192 0.8804 1.1369
2.5387 2.6412 8.0413
4.2856 0.8804 4.1241
6.1687 2.6412 2.7046
4.9516 0.8804 6.9636
8.6511 2.6412 0.6499
7.2557 2.6412 5.5933
-0.1269 2.6412 8.4574
6.5848 0.8804 0.7208
0.3588 0.8804 1.4515
-0.0825 2.6412 4.8592
3.7910 2.6412 2.8045
2.6668 0.8804 6.3737
6.5403 0.8804 4.3190
6.0991 2.6412 7.7267
```

Properties
The theoretical density is 3.56 g/cm3. As for the space group: No. 11. The formation energy comes out at -656 meV/atom. The value obtained for the energy is -7.76 eV/atom.



Number 1: magnetization 0.00 μB per atom. Number 2: magnetization 0.02 μB per atom.